Entry 1:
CsScPb2 | Alexandria via LeMat-Bulk | PBE | relaxed; DFT formation energy = -0.24 eV/atom; DFT total energy = -15.558 eV for the cell shown; space group = No. 123; M_tot = 0.0 μB/f.u.; density = 7.15 g/cm³
1.0
3.979 0.000 0.000
0.000 3.979 0.000
0.000 0.000 8.681
Cs Sc Pb
1 1 2
direct
0.000 0.000 0.000 Cs
0.000 0.000 0.500 Sc
0.500 0.500 0.323 Pb
0.500 0.500 0.677 Pb

***

Entry 2:
Ca2LaPr3 | Alexandria via LeMat-Bulk | PBE | relaxed; DFT formation energy = 0.03 eV/atom; DFT total energy = -46.189 eV for the cell shown; space group = No. 164; M_tot = 0.0 μB/f.u.; density = 4.66 g/cm³
1.0
7.510 0.000 0.000
-3.755 6.504 0.000
0.000 0.000 9.359
Ca La Pr
4 2 6
direct
0.000 0.000 0.000 Ca
0.000 0.500 0.000 Ca
0.500 0.000 0.000 Ca
0.500 0.500 0.000 Ca
0.333 0.667 0.346 La
0.667 0.333 0.654 La
0.166 0.333 0.657 Pr
0.166 0.834 0.657 Pr
0.333 0.166 0.343 Pr
0.667 0.834 0.657 Pr
0.834 0.166 0.343 Pr
0.834 0.667 0.343 Pr

***

Entry 3:
Cr3MoI | Alexandria via LeMat-Bulk | PBE | relaxed; uncorrected formation energy = 1.39 eV per atom; DFT total energy = -34.314 eV for the cell shown; space group = No. 221; M_tot = 9.6 μB/f.u.; density = 5.49 g/cm³
1.0
4.858 0.000 0.000
0.000 4.858 0.000
0.000 0.000 4.858
Cr Mo I
3 1 1
direct
0.000 0.000 0.500 Cr
0.000 0.500 0.000 Cr
0.500 0.000 0.000 Cr
0.000 0.000 0.000 Mo
0.500 0.500 0.500 I

***

Entry 4:
ScFeCl | Alexandria via LeMat-Bulk | PBE | relaxed; uncorrected formation energy = -1.00 eV per atom; DFT total energy = -39.301 eV for the cell shown; space group = No. 8; M_tot = 0.8 μB/f.u.; density = 3.63 g/cm³
1.0
3.207 -1.847 0.000
3.207 1.847 0.000
-2.170 0.000 10.525
Sc Fe Cl
2 2 2
direct
0.000 0.000 0.000 Sc
0.120 0.120 0.356 Sc
0.393 0.393 0.178 Fe
0.727 0.727 0.178 Fe
0.281 0.281 0.846 Cl
0.506 0.506 0.509 Cl

***

Entry 5:
SrEuCd | Alexandria via LeMat-Bulk | PBE | relaxed; DFT formation energy = -0.09 eV/atom; DFT total energy = -13.127 eV for the cell shown; space group = No. 156; M_tot = 8.0 μB/f.u.; density = 5.08 g/cm³
1.0
5.673 0.000 0.000
-2.836 4.913 0.000
0.000 0.000 4.130
Sr Eu Cd
1 1 1
direct
0.000 0.000 0.000 Sr
0.667 0.333 0.538 Eu
0.333 0.667 0.357 Cd

***

Entry 6:
Cu2WSe | Alexandria via LeMat-Bulk | PBE | relaxed; uncorrected formation energy = 0.49 eV per atom; DFT total energy = -22.675 eV for the cell shown; space group = No. 10; M_tot = 0.0 μB/f.u.; density = 11.04 g/cm³
1.0
4.314 0.000 0.000
0.000 2.937 0.000
-1.423 0.000 4.629
Cu W Se
2 1 1
direct
0.000 0.000 0.000 Cu
0.500 0.500 0.000 Cu
0.000 0.500 0.500 W
0.500 0.000 0.500 Se

***

Entry 7:
CePrCoCu | Alexandria via LeMat-Bulk | PBE | relaxed; DFT formation energy = -0.01 eV/atom; DFT total energy = -21.969 eV for the cell shown; space group = No. 216; M_tot = 0.3 μB/f.u.; density = 7.84 g/cm³
1.0
0.000 3.496 3.496
3.496 0.000 3.496
3.496 3.496 0.000
Ce Pr Co Cu
1 1 1 1
direct
0.000 0.000 0.000 Ce
0.500 0.500 0.500 Pr
0.750 0.750 0.750 Co
0.250 0.250 0.250 Cu

***

Entry 8:
ZrGaNi3 | Alexandria via LeMat-Bulk | PBE | relaxed; DFT formation energy = -0.34 eV/atom; DFT total energy = -61.275 eV for the cell shown; space group = No. 74; M_tot = 0.0 μB/f.u.; density = 7.93 g/cm³
1.0
-2.433 3.387 4.281
2.433 -3.387 4.281
2.433 3.387 -4.281
Zr Ga Ni
2 2 6
direct
0.257 0.007 0.250 Zr
0.743 0.993 0.750 Zr
0.000 0.500 0.500 Ga
0.500 0.500 0.000 Ga
0.190 0.000 0.690 Ni
0.190 0.500 0.190 Ni
0.441 0.691 0.750 Ni
0.559 0.309 0.250 Ni
0.810 0.000 0.310 Ni
0.810 0.500 0.810 Ni

***

Entry 9:
Zr2SbCl | Alexandria via LeMat-Bulk | PBE | relaxed; uncorrected formation energy = -0.62 eV per atom; DFT total energy = -25.552 eV for the cell shown; space group = No. 225; M_tot = 0.0 μB/f.u.; density = 6.71 g/cm³
1.0
0.000 3.477 3.477
3.477 0.000 3.477
3.477 3.477 0.000
Zr Sb Cl
2 1 1
direct
0.250 0.250 0.250 Zr
0.750 0.750 0.750 Zr
0.000 0.000 0.000 Sb
0.500 0.500 0.500 Cl

***

Entry 10:
PmNd5Rh4 | Alexandria via LeMat-Bulk | PBE | relaxed; DFT formation energy = -0.54 eV/atom; DFT total energy = -63.437 eV for the cell shown; space group = No. 12; M_tot = 0.0 μB/f.u.; density = 7.60 g/cm³
1.0
9.325 -2.155 0.000
9.325 2.155 0.000
-3.083 0.000 6.943
Pm Nd Rh
1 5 4
direct
0.000 0.000 0.000 Pm
0.000 0.000 0.500 Nd
0.336 0.336 0.080 Nd
0.336 0.336 0.591 Nd
0.664 0.664 0.409 Nd
0.664 0.664 0.920 Nd
0.197 0.197 0.198 Rh
0.500 0.500 0.255 Rh
0.500 0.500 0.745 Rh
0.803 0.803 0.802 Rh

***

Entry 11:
Ho3Si3Pd2 | Alexandria via LeMat-Bulk | PBE | relaxed; uncorrected formation energy = -0.96 eV per atom; DFT total energy = -96.105 eV for the cell shown; space group = No. 63; M_tot = 0.0 μB/f.u.; density = 8.46 g/cm³
1.0
2.124 -5.207 0.000
2.124 5.207 0.000
0.000 0.000 14.064
Ho Si Pd
6 6 4
direct
0.086 0.914 0.611 Ho
0.086 0.914 0.889 Ho
0.363 0.637 0.750 Ho
0.637 0.363 0.250 Ho
0.914 0.086 0.111 Ho
0.914 0.086 0.389 Ho
0.342 0.658 0.250 Si
0.395 0.605 0.539 Si
0.395 0.605 0.961 Si
0.605 0.395 0.039 Si
0.605 0.395 0.461 Si
0.658 0.342 0.750 Si
0.206 0.794 0.094 Pd
0.206 0.794 0.406 Pd
0.794 0.206 0.594 Pd
0.794 0.206 0.906 Pd

***

Entry 12:
La2MgAg | Alexandria via LeMat-Bulk | PBE | relaxed; DFT formation energy = -0.11 eV/atom; DFT total energy = -14.753 eV for the cell shown; space group = No. 99; M_tot = 0.0 μB/f.u.; density = 5.99 g/cm³
1.0
3.615 0.000 0.000
0.000 3.615 0.000
0.000 0.000 8.699
La Mg Ag
2 1 1
direct
0.000 0.000 0.000 La
0.500 0.500 0.320 La
0.000 0.000 0.597 Mg
0.500 0.500 0.754 Ag